No. 1
Compound: Ac3DyHg4
Source: Alexandria via LeMat-Bulk
Functional: PBE
Structure: relaxed

a b c (Å): 3.941 3.941 16.040
angles (deg): 90.00 90.00 90.00
Last column: magnetic moment on the atom in μB.
Fractional coordinates of all 8 atoms:
Hg 0.000 0.000 0.371  0.01
Dy 0.500 0.500 0.000  0.12
Ac 0.500 0.500 0.239  0.12
Hg 0.000 0.000 0.104  0.01
Hg 0.000 0.000 0.896  0.01
Ac 0.500 0.500 0.500  0.09
Ac 0.500 0.500 0.761  0.12
Hg 0.000 0.000 0.629  0.01

Values from the calculation:
As for the calculated total energy: -2.72 eV per atom. The calculation puts the energy of formation at -457.4 meV/atom. For the density of states at the Fermi level, the calculation gives 9.31 states/eV per cell. As for the space group: No. 123.

***

No. 2
Compound: Ac2DyHo2Hg5
Source: Alexandria via LeMat-Bulk
Functional: PBE
Structure: relaxed

a b c (Å): 3.987 12.147 12.147
angles (deg): 90.00 90.00 90.00
Last column: magnetic moment on the atom in μB.
Fractional coordinates of all 20 atoms:
Ac 0.000 0.827 0.673  0.09
Hg 0.500 0.421 0.318  0.00
Hg 0.500 0.682 0.421  0.00
Dy 0.000 0.500 0.500  0.00
Hg 0.500 0.921 0.182  0.00
Ho 0.000 0.870 0.370  0.03
Ac 0.000 0.673 0.173  0.09
Hg 0.500 0.318 0.579  0.00
Dy 0.000 0.000 0.000  0.00
Hg 0.500 0.182 0.079  0.00
Ho 0.000 0.630 0.870  0.03
Hg 0.500 0.500 0.000  0.00
Ho 0.000 0.130 0.630  0.03
Ac 0.000 0.173 0.327  0.09
Hg 0.500 0.079 0.818  0.00
Hg 0.500 0.579 0.682  0.00
Ho 0.000 0.370 0.130  0.03
Hg 0.500 0.818 0.921  0.00
Ac 0.000 0.327 0.827  0.09
Hg 0.500 0.000 0.500  0.00

Values from the calculation:
As for the calculated total energy: -2.70 eV per atom. The calculation puts the energy of formation at -350.8 meV/atom. For the density of states at the Fermi level, the calculation gives 14.25 states/eV per cell. As for the space group: No. 127.